# 1
Entry from the Alexandria database: a relaxed structure of KH6Br2N2 (PBE).

Properties
- mass density (g cm⁻³) = 1.916
- total energy (eV/atom) = -4.30
- magnetic moment (Bohr magnetons per cell) = 0.00

a b c (Å): 5.845 6.215 6.866
angles (deg): 114.28 111.42 95.99
Space group P-1 (No. 2)
Unique sites:
K (0.000, 0.000, 0.000)
H (0.078, 0.748, 0.467)
H (0.284, 0.720, 0.687)
H (0.320, 0.990, 0.692)
Br (0.259, 0.514, 0.014)
N (0.186, 0.837, 0.650)

***

# 2
Entry from the Alexandria database: a relaxed structure of Y2SiAu (PBE).

Properties
- ΔE_f (raw) (eV per atom) = -0.806
- mass density (g cm⁻³) = 7.100
- total energy (eV/atom) = -6.21
- magnetic moment (Bohr magnetons per cell) = 0.00

a b c (Å): 5.850 4.263 8.072
angles (deg): 90.00 110.60 90.00
Space group P2_1/m (No. 11)
Unique sites:
Y (0.214, 0.250, 0.428)
Y (0.220, 0.250, 0.930)
Si (0.338, 0.750, 0.710)
Au (0.340, 0.750, 0.211)

***

# 3
Entry from the Alexandria database: a relaxed structure of KSr4Pt (PBE).

Properties
- mass density (g cm⁻³) = 3.378
- total energy (eV/atom) = -1.76
- magnetic moment (Bohr magnetons per cell) = 0.00

a b c (Å): 10.475 10.475 10.475
angles (deg): 90.00 90.00 90.00
Space group F-43m (No. 216)
Unique sites:
K (0.000, 0.000, 0.000)
Sr (0.124, 0.124, 0.376)
Pt (0.250, 0.250, 0.750)

***

# 4
Entry from the Alexandria database: a relaxed structure of Sc2Rh (PBE).

Properties
- mass density (g cm⁻³) = 5.677
- total energy (eV/atom) = -6.45
- magnetic moment (Bohr magnetons per cell) = 0.00

a b c (Å): 7.670 7.670 7.670
angles (deg): 90.00 90.00 90.00
Space group Fd-3m (No. 227, origin choice 2)
Unique sites:
Sc (0.000, 0.000, 0.000)
Rh (0.125, 0.125, 0.625)

***

# 5
Entry from the Alexandria database: a relaxed structure of ZnAuF5 (PBE).

Properties
- ΔE_f (raw) (eV per atom) = -1.481
- mass density (g cm⁻³) = 5.624
- total energy (eV/atom) = -3.47
- magnetic moment (Bohr magnetons per cell) = 0.00

a b c (Å): 5.411 5.542 7.853
angles (deg): 106.60 96.69 106.72
Space group P-1 (No. 2)
Unique sites:
Zn (0.000, 0.000, 0.000)
Zn (0.000, 0.500, 0.500)
Au (0.446, 0.173, 0.703)
F (0.144, 0.275, 0.615)
F (0.189, 0.844, 0.728)
F (0.262, 0.297, 0.006)
F (0.265, 0.938, 0.212)
F (0.308, 0.549, 0.370)

***

# 6
Entry from the Alexandria database: a relaxed structure of YMgBe2Ag (PBE).

Properties
- mass density (g cm⁻³) = 2.879
- total energy (eV/atom) = -2.28
- magnetic moment (Bohr magnetons per cell) = 0.00

a b c (Å): 5.051 5.051 5.407
angles (deg): 90.00 90.00 90.00
Space group P4/mmm (No. 123)
Unique sites:
Y (0.000, 0.000, 0.000)
Mg (0.500, 0.500, 0.500)
Be (0.000, 0.500, 0.000)
Ag (0.000, 0.000, 0.500)